DFT (GGA-PBE) results for a geometry-optimized La4SiI5 structure.

Results
Final energy: -4.60 eV per atom
Raw formation energy: -13.1 eV/f.u.

a = 19.9526 Å, b = 4.4120 Å, c = 9.2207 Å
α = 90.00°, β = 102.77°, γ = 90.00°
Space group C2/m (No. 12)
Inequivalent atoms, fractional coordinates:
La (0.0005, 0.0000, 0.2834) [4 per cell]
La (0.1487, 0.5000, 0.5759) [4 per cell]
Si (0.0000, 0.5000, 0.5000) [2 per cell]
I (0.0000, 0.5000, 0.0000) [2 per cell]
I (0.1669, 0.0000, 0.8394) [4 per cell]
I (0.1716, 0.0000, 0.3257) [4 per cell]